[1]
# SiTePb2

A geometry-optimized SiTePb2 structure (PBE-GGA, Alexandria via LeMat-Bulk).

abc: 5.395 5.395 5.395
angles: 60.00 60.00 60.00
Atoms (fractional coordinates):
1 Pb 0.750 0.750 0.750
2 Pb 0.250 0.250 0.250
3 Te 0.500 0.500 0.500
4 Si 0.000 0.000 0.000

Properties
M_tot, μB/atom: 0.00
Space-group type: Fm-3m
DOS(E_F), states/eV/f.u.: 3.15
Final energy, eV per atom: -3.66
ΔE to the lowest computed polymorph, meV/atom: 166
Formation energy from raw total energies, eV/f.u.: 1.34

[2]
# Dy2SnGe3Rh4

A geometry-optimized Dy2SnGe3Rh4 structure (PBE-GGA, Alexandria via LeMat-Bulk).

abc: 4.205 4.205 10.524
angles: 90.00 90.00 90.00
Atoms (fractional coordinates):
1 Rh 0.500 0.500 0.000
2 Rh 0.000 0.500 0.355
3 Ge 0.500 0.000 0.873
4 Dy 0.000 0.500 0.758
5 Rh 0.000 0.000 0.000
6 Sn 0.500 0.500 0.500
7 Dy 0.500 0.000 0.242
8 Rh 0.500 0.000 0.645
9 Ge 0.000 0.000 0.500
10 Ge 0.000 0.500 0.127

Properties
M_tot, μB/atom: 0.00
Space-group type: P-4m2
DOS(E_F), states/eV/f.u.: 6.77
Final energy, eV per atom: -6.45
Formation energy, kJ/mol of atoms: -77.29

[3]
# Sm6TlGa2

A geometry-optimized Sm6TlGa2 structure (PBE-GGA, Alexandria via LeMat-Bulk).

abc: 8.849 8.849 8.849
angles: 104.92 111.53 112.06
Atoms (fractional coordinates):
1 Sm 0.797 0.761 0.558
2 Sm 0.097 0.280 0.817
3 Tl 0.000 0.500 0.500
4 Sm 0.203 0.239 0.442
5 Sm 0.203 0.761 0.963
6 Tl 0.000 0.000 0.000
7 Ga 0.500 0.380 0.880
8 Sm 0.463 0.280 0.183
9 Ga 0.643 0.000 0.643
10 Sm 0.903 0.720 0.183
11 Sm 0.295 0.617 0.322
12 Sm 0.295 0.973 0.678
13 Sm 0.797 0.239 0.037
14 Sm 0.705 0.027 0.322
15 Ga 0.500 0.620 0.120
16 Sm 0.537 0.720 0.817
17 Ga 0.357 0.000 0.357
18 Sm 0.705 0.383 0.678

Properties
M_tot, μB/atom: 0.00
Space-group type: Immm
DOS(E_F), states/eV/f.u.: 7.52
Final energy, eV per atom: -4.45
Formation energy, kJ/mol of atoms: -35.76

[4]
# ScAgMo

A geometry-optimized ScAgMo structure (PBE-GGA, Alexandria via LeMat-Bulk).

abc: 7.071 7.071 7.071
angles: 156.96 156.96 32.81
Atoms (fractional coordinates):
1 Mo 0.333 0.333 0.000
2 Sc 0.671 0.671 0.000
3 Ag 0.997 0.997 0.000

Properties
M_tot, μB/atom: 0.00
Space-group type: I4mm
DOS(E_F), states/eV/f.u.: 2.50
Final energy, eV per atom: -6.50
Formation energy, kJ/mol of atoms: 16.55
ΔE to the lowest computed polymorph, meV/atom: 0

[5]
# BaTlSb4

A geometry-optimized BaTlSb4 structure (PBE-GGA, Alexandria via LeMat-Bulk).

abc: 6.495 6.495 6.495
angles: 60.00 60.00 60.00
Atoms (fractional coordinates):
1 Sb 0.623 0.623 0.130
2 Sb 0.623 0.130 0.623
3 Tl 0.250 0.250 0.250
4 Sb 0.623 0.623 0.623
5 Sb 0.130 0.623 0.623
6 Ba 0.000 0.000 0.000

Properties
M_tot, μB/atom: 0.00
Space-group type: F-43m
DOS(E_F), states/eV/f.u.: 4.13
Final energy, eV per atom: -3.76
Formation energy from raw total energies, eV/f.u.: -1.80

[6]
# NdPaNi

A geometry-optimized NdPaNi structure (PBE-GGA, Alexandria via LeMat-Bulk).

abc: 4.462 4.393 4.393
angles: 120.00 90.00 90.00
Atoms (fractional coordinates):
1 Nd 0.667 0.667 0.333
2 Pa 0.167 0.000 0.000
3 Ni 0.167 0.333 0.667

Properties
M_tot, μB/atom: 0.00
Space-group type: P-6m2
DOS(E_F), states/eV/f.u.: 4.52
Final energy, eV per atom: -6.57
Formation energy, kJ/mol of atoms: 10.80
ΔE to the lowest computed polymorph, meV/atom: 205